# Te2AuBr PBE optimized geometry
# Formation energy without anion corrections (meV/atom): 19.8
# Calculated volume (A^3/atom): 34.65
data_Te2AuBr
_chemical_formula_sum 'Te2 Au1 Br1'
_cell_length_a 4.911
_cell_length_b 5.525
_cell_length_c 5.660
_cell_angle_alpha 90.00
_cell_angle_beta 115.53
_cell_angle_gamma 90.00
_space_group_name_H-M_alt 'P 1 m 1'
_space_group_IT_number 6
_space_group_name_Hall 'P -2y'
loop_
_atom_site_label
_atom_site_type_symbol
_atom_site_fract_x
_atom_site_fract_y
_atom_site_fract_z
_atom_site_occupancy
Te1 Te 0.000 0.000 0.000 1
Te2 Te 0.162 0.500 0.874 1
Au1 Au 0.756 0.500 0.072 1
Br1 Br 0.472 0.000 0.513 1